No. 1
3
Lattice="0.000 3.415 3.415 3.415 0.000 3.415 3.415 3.415 0.000" Properties=species:S:1:pos:R:3 comment="TaTlSn (PBE, optimized geometry)" final_energy_ev_per_cell=-15.0 relative_energy_ev_per_atom=0.301 total_magnetization_mub_per_fu=1.49 pbc="T T T"
Ta 0.000 0.000 0.000
Tl 3.415 3.415 3.415
Sn 1.708 1.708 1.708

---

No. 2
3
Lattice="0.000 3.488 3.488 3.488 0.000 3.488 3.488 3.488 0.000" Properties=species:S:1:pos:R:3 comment="TmTaSn (PBE, optimized geometry)" final_energy_ev_per_cell=-17.6 total_magnetization_mub_per_fu=2.93 pbc="T T T"
Tm 0.000 0.000 0.000
Ta 1.744 1.744 1.744
Sn 5.232 5.232 5.232

---

No. 3
3
Lattice="0.000 3.413 3.413 3.413 0.000 3.413 3.413 3.413 0.000" Properties=species:S:1:pos:R:3 comment="UTaSn (PBE, optimized geometry)" final_energy_ev_per_cell=-23.3 relative_energy_ev_per_atom=0.601 total_magnetization_mub_per_fu=1.11 pbc="T T T"
U 0.000 0.000 0.000
Ta 1.706 1.706 1.706
Sn 5.119 5.119 5.119

---

No. 4
3
Lattice="0.000 3.345 3.345 3.345 0.000 3.345 3.345 3.345 0.000" Properties=species:S:1:pos:R:3 comment="UTaSn (PBE, optimized geometry)" final_energy_ev_per_cell=-25.1 relative_energy_ev_per_atom=0.000 total_magnetization_mub_per_fu=1.09 pbc="T T T"
U 0.000 0.000 0.000
Ta 1.673 1.673 1.673
Sn 3.345 3.345 3.345